MnAlInRe2: relaxed, PBE.

## Properties
Volume: 94.87 Å³/cell
E: -6.8088 eV/atom
Space-group type: P4/mmm, No. 123
Magnetization: 0.00 μB per formula unit
Formation energy: 1.30 eV per atom

Unit cell a=4.472 b=4.744 c=4.472 alpha=90.00 beta=90.00 gamma=90.00
Atoms (fractional coordinates):
Re1 0.000 0.000 0.500
Re2 0.500 0.000 0.000
Mn1 0.000 0.000 0.000
Al1 0.500 0.500 0.500
In1 0.000 0.500 0.000



MnAlInS4: relaxed, PBE.

## Properties
E_form (uncorrected): -0.695 eV per atom
Volume: 288.37 Å³/cell
E: -5.2891 eV/atom
Space-group type: Imma, No. 74
Magnetization: 4.98 μB per formula unit

Unit cell a=7.339 b=7.420 c=7.420 alpha=60.53 beta=60.36 gamma=60.36
Site moments in Bohr magnetons follow the coordinates.
Atoms (fractional coordinates):
Mn1 0.500 0.000 0.500  4.27
Mn2 0.000 0.000 0.500  4.27
Al1 0.634 0.616 0.116  0.02
Al2 0.366 0.384 0.884  0.02
In1 0.000 0.000 0.000  0.01
In2 0.000 0.500 0.500  0.01
S1 0.750 0.760 0.740  0.05
S2 0.250 0.760 0.740  0.05
S3 0.750 0.240 0.260  0.05
S4 0.250 0.240 0.260  0.05
S5 0.247 0.756 0.256  0.03
S6 0.742 0.756 0.256  0.03
S7 0.258 0.244 0.744  0.03
S8 0.753 0.244 0.744  0.03